No. 1
DFT (PBEsol) results for an optimized crystal structure of La2NiO4.

```
La2NiO4
1.0
-4.819 -1.974 -1.099
1.468 -4.703 2.013
-4.120 3.644 11.516
Ni O La
4 16 8
direct
0.750 0.750 0.250 Ni
0.250 0.750 0.750 Ni
0.750 0.250 0.750 Ni
0.250 0.250 0.250 Ni
0.269 0.769 0.930 O
0.500 0.500 0.750 O
0.769 0.731 0.070 O
0.000 0.500 0.758 O
0.231 0.731 0.570 O
0.769 0.269 0.570 O
0.731 0.231 0.930 O
0.731 0.769 0.430 O
0.500 0.500 0.250 O
0.269 0.231 0.430 O
0.500 0.000 0.742 O
0.000 0.500 0.258 O
0.231 0.269 0.070 O
0.500 0.000 0.242 O
0.000 0.000 0.750 O
0.000 0.000 0.250 O
0.755 0.745 0.613 La
0.745 0.245 0.387 La
0.755 0.255 0.113 La
0.255 0.245 0.887 La
0.245 0.255 0.613 La
0.245 0.745 0.113 La
0.745 0.755 0.887 La
0.255 0.755 0.387 La
```

Results
**Total magnetization**: 0.53 μB/f.u.
**Formation energy without anion corrections**: -255.5 kJ/mol of atoms

No. 2
DFT (PBEsol) results for an optimized crystal structure of FeAgPt2.

```
FeAgPt2
1.0
3.850 0.000 0.000
0.000 3.850 0.000
-1.925 -1.925 3.945
Pt Ag Fe
2 1 1
direct
0.250 0.750 0.500 Pt
0.000 0.000 0.000 Pt
0.500 0.500 0.000 Ag
0.750 0.250 0.500 Fe
```

Results
**Total magnetization**: 3.67 μB/f.u.
**Energy relative to the elements**: 3 kJ per mole of atoms

No. 3
DFT (PBEsol) results for an optimized crystal structure of YTlTe2.

```
YTlTe2
1.0
-0.757 -3.785 -7.270
-3.251 -2.132 6.108
-8.151 -0.412 1.064
Te Y Tl
4 2 2
direct
0.875 0.250 0.591 Te
0.375 0.250 0.159 Te
0.591 0.750 0.375 Te
0.159 0.750 0.875 Te
0.500 0.000 0.500 Y
0.250 0.500 0.250 Y
0.000 0.000 0.000 Tl
0.750 0.500 0.750 Tl
```

Results
**Total magnetization**: 0.00 μB/f.u.
**Formation energy without anion corrections**: -70.1 kJ/mol of atoms

No. 4
DFT (PBEsol) results for an optimized crystal structure of LaTiSi3.

```
LaTiSi3
1.0
-0.302 0.669 4.625
-4.664 0.251 -0.341
-0.297 -4.628 0.650
La Si Ti
1 3 1
direct
0.500 0.500 0.500 La
0.500 0.000 0.000 Si
0.000 0.500 0.000 Si
0.000 0.000 0.500 Si
0.000 0.000 0.000 Ti
```

Results
**Total magnetization**: 0.00 μB/f.u.
**Formation energy without anion corrections**: -26.7 kJ/mol of atoms

No. 5
DFT (PBEsol) results for an optimized crystal structure of NbFe2.

```
NbFe2
1.0
-3.561 3.081 0.041
-0.288 -3.896 -2.629
-3.203 -3.783 5.956
Nb Fe
4 8
direct
0.667 0.333 0.566 Nb
0.667 0.333 0.934 Nb
0.333 0.667 0.434 Nb
0.333 0.667 0.066 Nb
0.341 0.171 0.250 Fe
0.829 0.171 0.250 Fe
0.000 0.000 0.000 Fe
0.829 0.659 0.250 Fe
0.171 0.829 0.750 Fe
0.659 0.829 0.750 Fe
0.171 0.341 0.750 Fe
0.000 0.000 0.500 Fe
```

Results
**Total magnetization**: 0.41 μB/f.u.
**Energy relative to the elements**: -17 kJ per mole of atoms

No. 6
DFT (PBEsol) results for an optimized crystal structure of CoH2Se.

```
CoH2Se
1.0
3.618 0.000 0.000
1.809 3.133 0.000
1.809 1.044 2.954
Co H Se
1 2 1
direct
0.000 0.000 0.000 Co
0.750 0.750 0.750 H
0.250 0.250 0.250 H
0.500 0.500 0.500 Se
```

Results
**Total magnetization**: 0.00 μB/f.u.
**Calculated total energy**: -3.79 eV/atom

No. 7
DFT (PBEsol) results for an optimized crystal structure of YReBi2C.

```
YReBi2C
1.0
-1.091 -1.822 -4.690
-1.077 -4.603 2.039
-5.111 1.470 0.618
Bi Y Re C
2 1 1 1
direct
0.000 0.500 0.000 Bi
0.500 0.000 0.000 Bi
0.000 0.000 0.500 Y
0.000 0.000 0.000 Re
0.500 0.500 0.500 C
```

Results
**Total magnetization**: 1.31 μB/f.u.
**Energy relative to the elements**: 160 kJ per mole of atoms

No. 8
DFT (PBEsol) results for an optimized crystal structure of ScAlOs.

```
ScAlOs
1.0
3.207 0.000 0.000
0.000 3.207 0.000
-1.603 -1.603 4.694
Sc Os Al
1 1 1
direct
0.322 0.322 0.645 Sc
0.655 0.655 0.311 Os
0.022 0.022 0.044 Al
```

Results
**Total magnetization**: 0.00 μB/f.u.
**Energy relative to the elements**: -49 kJ per mole of atoms

No. 9
DFT (PBEsol) results for an optimized crystal structure of TbB3O6.

```
TbB3O6
1.0
-2.756 1.055 5.266
-5.750 -2.746 1.001
0.880 -4.250 4.772
Tb O B
2 12 6
direct
0.000 0.750 0.250 Tb
0.000 0.250 0.750 Tb
0.092 0.842 0.842 O
0.908 0.158 0.158 O
0.755 0.552 0.248 O
0.446 0.052 0.748 O
0.446 0.748 0.052 O
0.776 0.658 0.658 O
0.554 0.948 0.252 O
0.755 0.248 0.552 O
0.554 0.252 0.948 O
0.245 0.752 0.448 O
0.224 0.342 0.342 O
0.245 0.448 0.752 O
0.565 0.814 0.814 B
0.808 0.314 0.314 B
0.435 0.186 0.186 B
0.500 0.750 0.250 B
0.500 0.250 0.750 B
0.192 0.686 0.686 B
```

Results
**Total magnetization**: 0.00 μB/f.u.
**Formation energy without anion corrections**: -269.4 kJ/mol of atoms

No. 10
DFT (PBEsol) results for an optimized crystal structure of HoHO2.

```
HoHO2
1.0
-1.565 -2.526 -1.991
-0.738 -2.303 3.501
-4.569 3.578 -0.946
O Ho H
4 2 2
direct
0.750 0.248 0.939 O
0.250 0.752 0.061 O
0.250 0.767 0.552 O
0.750 0.233 0.448 O
0.250 0.333 0.690 Ho
0.750 0.667 0.310 Ho
0.250 0.988 0.079 H
0.750 0.012 0.921 H
```

Results
**Total magnetization**: 0.00 μB/f.u.
**Calculated total energy**: -7.41 eV/atom

No. 11
DFT (PBEsol) results for an optimized crystal structure of K2LiPrI6.

```
K2LiPrI6
1.0
-1.604 0.858 8.208
-3.828 -6.193 4.205
4.295 -4.545 5.620
I K Pr Li
6 2 1 1
direct
0.742 0.258 0.258 I
0.742 0.742 0.258 I
0.742 0.258 0.742 I
0.258 0.742 0.742 I
0.258 0.742 0.258 I
0.258 0.258 0.742 I
0.250 0.250 0.250 K
0.750 0.750 0.750 K
0.000 0.000 0.000 Pr
0.500 0.500 0.500 Li
```

Results
**Total magnetization**: 0.00 μB/f.u.
**Formation energy without anion corrections**: -127.5 kJ/mol of atoms

No. 12
DFT (PBEsol) results for an optimized crystal structure of BaGd2CoO5.

```
BaGd2CoO5
1.0
3.687 0.000 0.000
0.000 5.792 0.000
-1.844 -2.896 5.755
O Gd Ba Co
5 2 1 1
direct
0.147 0.888 0.294 O
0.500 0.500 0.000 O
0.853 0.594 0.706 O
0.853 0.112 0.706 O
0.147 0.406 0.294 O
0.703 0.703 0.407 Gd
0.297 0.297 0.593 Gd
0.500 0.000 0.000 Ba
0.000 0.500 0.000 Co
```

Results
**Total magnetization**: 16.26 μB/f.u.
**Formation energy without anion corrections**: -261.4 kJ/mol of atoms